[1]
A plane-wave DFT calculation with PBE was carried out for a geometry-optimized Mg2MoPt structure.

POSCAR file:
```
Mg2MoPt
1.0
2.003 -2.007 0.000
2.003 2.007 0.000
0.000 0.000 8.236
Mg Mo Pt
2 1 1
Cartesian
0.000 0.000 1.909 Mg
0.000 0.000 6.327 Mg
2.003 0.000 4.118 Mo
2.003 0.000 0.000 Pt
```

Values from the calculation:
Electronic total energy = -20.88 eV for the cell shown
Excess energy over the best structure of this formula in the dataset = 0 meV per atom
Fermi-level density of states = 2.95 states/eV/f.u.
Energy of formation from the pure elements = -0.822 eV/f.u.



[2]
A plane-wave DFT calculation with PBE was carried out for a geometry-optimized Th3MgZn4 structure.

POSCAR file:
```
Th3MgZn4
1.0
2.505 1.446 8.679
-2.505 1.446 8.679
0.000 -2.893 8.679
Th Mg Zn
3 1 4
Cartesian
0.000 0.000 0.000 Th
0.000 0.000 6.381 Th
0.000 0.000 19.656 Th
0.000 0.000 13.018 Mg
0.000 0.000 3.322 Zn
0.000 0.000 9.792 Zn
0.000 0.000 16.245 Zn
0.000 0.000 22.714 Zn
```

Values from the calculation:
Electronic total energy = -30.15 eV for the cell shown
Fermi-level density of states = 7.63 states/eV/f.u.
Energy of formation from the pure elements = -1.203 eV/f.u.



[3]
A plane-wave DFT calculation with PBE was carried out for a geometry-optimized SbPt3Pb structure.

POSCAR file:
```
SbPt3Pb
1.0
4.997 0.000 0.000
0.000 4.997 0.000
0.000 0.000 4.997
Sb Pt Pb
1 3 1
Cartesian
0.000 0.000 0.000 Sb
0.000 0.000 2.499 Pt
0.000 2.499 0.000 Pt
2.499 0.000 0.000 Pt
2.499 2.499 2.499 Pb
```

Values from the calculation:
Formation energy from raw total energies = 1.86 eV per formula unit
Electronic total energy = -24.09 eV for the cell shown
Excess energy over the best structure of this formula in the dataset = 0 meV per atom
Fermi-level density of states = 2.96 states/eV/f.u.



[4]
A plane-wave DFT calculation with PBE was carried out for a geometry-optimized PrSmHo2S4 structure.

POSCAR file:
```
PrSmHo2S4
1.0
6.829 0.000 0.000
0.000 3.914 0.000
-2.249 0.000 6.634
Pr Sm Ho S
1 1 2 4
Cartesian
0.000 0.000 0.000 Pr
3.415 1.957 0.000 Sm
-1.125 1.957 3.317 Ho
2.290 0.000 3.317 Ho
0.042 0.000 4.872 S
1.171 1.957 1.780 S
3.409 1.957 4.854 S
4.538 0.000 1.762 S
```

Values from the calculation:
Formation energy from raw total energies = -16.01 eV per formula unit
Electronic total energy = -51.17 eV for the cell shown
Fermi-level density of states = 4.10 states/eV/f.u.